Here is crystalline Cu2BF at its relaxed geometry from the Alexandria database. Energies are from PBE.

```
Cu2BF
1.0
-0.9336 2.8605 2.4244
0.9922 3.6404 -0.8337
-2.7157 2.5640 -0.9915
Cu F B
2 1 1
Direct
0.7500 0.7500 0.7500
0.2500 0.2500 0.2500
0.5000 0.5000 0.5000
0.0000 0.0000 0.0000
```

## Properties
Total moment (μB per atom): 0.00
ΔE_f (raw) (eV/atom): 0.2700
SG: Fm-3m, No. 225
Excess energy over the best structure of this formula in the dataset (meV per atom): 326